No. 1
## DyCr3S6 (PBE)

Data for crystalline DyCr3S6 at its relaxed geometry.

Properties
The calculated total energy is -6.851 eV per atom.

Unit cell a=10.690 b=10.841 c=12.645 alpha=90.00 beta=90.00 gamma=90.00
Space group Pmn2_1 (No. 31)
Inequivalent atoms, fractional coordinates:
Dy1 0.000 0.009 0.000 [2 per cell]
Dy2 0.000 0.512 0.835 [2 per cell]
Dy3 0.167 0.985 0.498 [4 per cell]
Cr1 0.000 0.167 0.262 [2 per cell]
Cr2 0.000 0.198 0.779 [2 per cell]
Cr3 0.000 0.658 0.572 [2 per cell]
Cr4 0.000 0.691 0.059 [2 per cell]
Cr5 0.164 0.312 0.548 [4 per cell]
Cr6 0.164 0.792 0.283 [4 per cell]
Cr7 0.165 0.343 0.074 [4 per cell]
Cr8 0.167 0.836 0.763 [4 per cell]
S1 0.000 0.160 0.592 [2 per cell]
S2 0.000 0.287 0.954 [2 per cell]
S3 0.000 0.371 0.197 [2 per cell]
S4 0.000 0.449 0.506 [2 per cell]
S5 0.000 0.657 0.241 [2 per cell]
S6 0.000 0.785 0.880 [2 per cell]
S7 0.000 0.869 0.637 [2 per cell]
S8 0.000 0.946 0.329 [2 per cell]
S9 0.163 0.339 0.736 [4 per cell]
S10 0.164 0.552 0.008 [4 per cell]
S11 0.165 0.050 0.832 [4 per cell]
S12 0.166 0.133 0.135 [4 per cell]
S13 0.166 0.204 0.382 [4 per cell]
S14 0.166 0.630 0.699 [4 per cell]
S15 0.167 0.727 0.460 [4 per cell]
S16 0.167 0.841 0.095 [4 per cell]

---

No. 2
## TaMn2RuPb (PBE)

Data for crystalline TaMn2RuPb at its relaxed geometry.

Properties
The formation energy is 0.913 eV/atom.

Unit cell a=4.820 b=4.820 c=4.738 alpha=90.00 beta=90.00 gamma=90.00
Space group P4/mmm (No. 123)
Inequivalent atoms, fractional coordinates:
Ta1 0.000 0.000 0.000 [1 per cell]
Mn1 0.000 0.500 0.500 [2 per cell]
Ru1 0.000 0.000 0.500 [1 per cell]
Pb1 0.500 0.500 0.000 [1 per cell]

---

No. 3
## LaTbY2As4 (PBE)

Data for crystalline LaTbY2As4 at its relaxed geometry.

Properties
The formation energy is -1.545 eV/atom.

Unit cell a=7.258 b=4.196 c=7.261 alpha=90.00 beta=109.45 gamma=90.00
Space group P2/m (No. 10)
Inequivalent atoms, fractional coordinates:
La1 0.000 0.000 0.000 [1 per cell]
Tb1 0.000 0.500 0.500 [1 per cell]
Y1 0.500 0.000 0.500 [1 per cell]
Y2 0.500 0.500 0.000 [1 per cell]
As1 0.254 0.000 0.746 [2 per cell]
As2 0.259 0.500 0.258 [2 per cell]

---

No. 4
## Nd4AlTeI2 (PBE)

Data for crystalline Nd4AlTeI2 at its relaxed geometry.

Properties
The calculated total energy is -4.523 eV per atom.

Unit cell a=7.854 b=4.474 c=8.016 alpha=90.00 beta=108.92 gamma=90.00
Space group P2/m (No. 10)
Inequivalent atoms, fractional coordinates:
Nd1 0.219 0.000 0.209 [2 per cell]
Nd2 0.241 0.500 0.788 [2 per cell]
Al1 0.000 0.500 0.000 [1 per cell]
Te1 0.500 0.000 0.000 [1 per cell]
I1 0.000 0.000 0.500 [1 per cell]
I2 0.500 0.500 0.500 [1 per cell]

---

No. 5
## Pa2TeS2N2 (PBE)

Data for crystalline Pa2TeS2N2 at its relaxed geometry.

Properties
The calculated total energy is -8.100 eV per atom.

Unit cell a=3.8659 b=3.8659 c=11.6819 alpha=90.00 beta=90.00 gamma=120.00
Space group P-3m1 (No. 164)
Inequivalent atoms, fractional coordinates:
Pa1 0.3333 0.6667 0.1251 [2 per cell]
Te1 0.0000 0.0000 0.5000 [1 per cell]
S1 0.0000 0.0000 0.2685 [2 per cell]
N1 0.3333 0.6667 0.9289 [2 per cell]

---

No. 6
## SrNbP2Se (PBE)

Data for crystalline SrNbP2Se at its relaxed geometry.

Properties
The calculated total energy is -5.854 eV per atom.

Unit cell a=4.793 b=4.793 c=5.391 alpha=90.00 beta=90.00 gamma=90.00
Space group P4/mmm (No. 123)
Inequivalent atoms, fractional coordinates:
Sr1 0.000 0.000 0.000 [1 per cell]
Nb1 0.500 0.500 0.500 [1 per cell]
P1 0.000 0.500 0.500 [2 per cell]
Se1 0.500 0.500 0.000 [1 per cell]

---

No. 7
## TlTc2As (PBE)

Data for crystalline TlTc2As at its relaxed geometry.

Properties
The formation energy is 0.358 eV/atom.

Unit cell a=7.936 b=3.124 c=5.909 alpha=90.00 beta=103.79 gamma=90.00
Space group C2/m (No. 12)
Inequivalent atoms, fractional coordinates:
Tl1 0.000 0.000 0.000 [2 per cell]
Tc1 0.238 0.000 0.689 [4 per cell]
As1 0.000 0.500 0.500 [2 per cell]

---

No. 8
## InTePt2 (PBE)

Data for crystalline InTePt2 at its relaxed geometry.

Properties
The calculated total energy is -4.746 eV per atom.

Unit cell a=5.295 b=5.624 c=5.603 alpha=90.00 beta=90.00 gamma=90.00
Space group Amm2 (No. 38)
Inequivalent atoms, fractional coordinates:
In1 0.000 0.000 0.000 [2 per cell]
Te1 0.500 0.000 0.622 [2 per cell]
Pt1 0.000 0.000 0.497 [2 per cell]
Pt2 0.500 0.000 0.140 [2 per cell]

---

No. 9
## LiTb2Cd6 (PBE)

Data for crystalline LiTb2Cd6 at its relaxed geometry.

Properties
The formation energy is -0.221 eV/atom.

Unit cell a=12.040 b=6.562 c=5.301 alpha=90.00 beta=97.06 gamma=90.00
Space group C2/m (No. 12)
Inequivalent atoms, fractional coordinates:
Li1 0.000 0.000 0.000 [2 per cell]
Tb1 0.146 0.500 0.204 [4 per cell]
Cd1 0.100 0.238 0.694 [8 per cell]
Cd2 0.195 0.000 0.257 [4 per cell]

---

No. 10
## Ba2NaCdCl (PBE)

Data for crystalline Ba2NaCdCl at its relaxed geometry.

Properties
The calculated total energy is -2.285 eV per atom.

Unit cell a=6.254 b=6.254 c=5.163 alpha=90.00 beta=90.00 gamma=90.00
Space group P4/mmm (No. 123)
Inequivalent atoms, fractional coordinates:
Ba1 0.000 0.500 0.000 [2 per cell]
Na1 0.000 0.000 0.500 [1 per cell]
Cd1 0.500 0.500 0.500 [1 per cell]
Cl1 0.000 0.000 0.000 [1 per cell]

---

No. 11
## Tb3Pm2Dy6Tl (PBE)

Data for crystalline Tb3Pm2Dy6Tl at its relaxed geometry.

Properties
The formation energy is -0.028 eV/atom.

Unit cell a=6.107 b=10.587 c=11.737 alpha=90.00 beta=100.06 gamma=90.00
Space group C2/m (No. 12)
Inequivalent atoms, fractional coordinates:
Tb1 0.000 0.000 0.000 [2 per cell]
Tb2 0.000 0.333 0.000 [4 per cell]
Pm1 0.000 0.166 0.500 [4 per cell]
Dy1 0.245 0.500 0.249 [4 per cell]
Dy2 0.247 0.336 0.749 [8 per cell]
Tl1 0.000 0.500 0.500 [2 per cell]

---

No. 12
## NaNiBr4 (PBE)

Data for crystalline NaNiBr4 at its relaxed geometry.

Properties
The calculated total energy is -2.912 eV per atom.

Unit cell a=8.074 b=14.510 c=6.776 alpha=90.00 beta=118.95 gamma=90.00
Space group C2/c (No. 15)
Inequivalent atoms, fractional coordinates:
Na1 0.000 0.082 0.250 [4 per cell]
Ni1 0.000 0.436 0.750 [4 per cell]
Br1 0.194 0.317 0.733 [8 per cell]
Br2 0.198 0.448 0.210 [8 per cell]

---

No. 13
## ScPaHgPt (PBE)

Data for crystalline ScPaHgPt at its relaxed geometry.

Properties
The formation energy is -0.432 eV/atom.

Unit cell a=7.065 b=7.065 c=7.065 alpha=90.00 beta=90.00 gamma=90.00
Space group F-43m (No. 216)
Inequivalent atoms, fractional coordinates:
Sc1 0.000 0.000 0.000 [4 per cell]
Pa1 0.000 0.000 0.500 [4 per cell]
Hg1 0.250 0.250 0.750 [4 per cell]
Pt1 0.250 0.250 0.250 [4 per cell]

---

No. 14
## Na2CuAuC (PBE)

Data for crystalline Na2CuAuC at its relaxed geometry.

Properties
The formation energy is 0.447 eV/atom.

Unit cell a=5.181 b=5.181 c=3.587 alpha=90.00 beta=90.00 gamma=90.00
Space group P4/mmm (No. 123)
Inequivalent atoms, fractional coordinates:
Na1 0.000 0.500 0.000 [2 per cell]
Cu1 0.000 0.000 0.500 [1 per cell]
Au1 0.500 0.500 0.500 [1 per cell]
C1 0.000 0.000 0.000 [1 per cell]

---

No. 15
## Er6Zn3Tc (PBE)

Data for crystalline Er6Zn3Tc at its relaxed geometry.

Properties
The formation energy is -0.202 eV/atom.

Unit cell a=8.747 b=5.079 c=11.095 alpha=90.00 beta=109.13 gamma=90.00
Space group P2_1/m (No. 11)
Inequivalent atoms, fractional coordinates:
Er1 0.024 0.250 0.407 [2 per cell]
Er2 0.167 0.750 0.170 [2 per cell]
Er3 0.266 0.250 0.002 [2 per cell]
Er4 0.349 0.750 0.830 [2 per cell]
Er5 0.377 0.250 0.343 [2 per cell]
Er6 0.386 0.250 0.637 [2 per cell]
Zn1 0.018 0.750 0.870 [2 per cell]
Zn2 0.098 0.250 0.717 [2 per cell]
Zn3 0.269 0.750 0.469 [2 per cell]
Tc1 0.459 0.750 0.102 [2 per cell]

---

No. 16
## ScNiS2N (PBE)

Data for crystalline ScNiS2N at its relaxed geometry.

Properties
The calculated total energy is -5.947 eV per atom.

Unit cell a=4.618 b=4.618 c=3.516 alpha=90.00 beta=90.00 gamma=90.00
Space group P4/mmm (No. 123)
Inequivalent atoms, fractional coordinates:
Sc1 0.000 0.000 0.000 [1 per cell]
Ni1 0.500 0.500 0.500 [1 per cell]
S1 0.000 0.500 0.500 [2 per cell]
N1 0.500 0.500 0.000 [1 per cell]

---

No. 17
## Te2MoW3S6 (PBE)

Data for crystalline Te2MoW3S6 at its relaxed geometry.

Properties
The calculated total energy is -7.318 eV per atom.

Unit cell a=3.2733 b=3.2733 c=35.1462 alpha=90.00 beta=90.00 gamma=120.00
Space group P3m1 (No. 156)
Inequivalent atoms, fractional coordinates:
Te1 0.0000 0.0000 0.0000 [1 per cell]
Te2 0.0000 0.0000 0.1105 [1 per cell]
Mo1 0.0000 0.0000 0.8468 [1 per cell]
W1 0.0000 0.0000 0.2672 [1 per cell]
W2 0.3333 0.6667 0.0553 [1 per cell]
W3 0.3333 0.6667 0.4658 [1 per cell]
S1 0.0000 0.0000 0.4219 [1 per cell]
S2 0.0000 0.0000 0.5097 [1 per cell]
S3 0.3333 0.6667 0.2232 [1 per cell]
S4 0.3333 0.6667 0.3111 [1 per cell]
S5 0.3333 0.6667 0.8030 [1 per cell]
S6 0.3333 0.6667 0.8905 [1 per cell]

---

No. 18
## NbFeCo2 (PBE)

Data for crystalline NbFeCo2 at its relaxed geometry.

Properties
The formation energy is -0.100 eV/atom.

Unit cell a=3.718 b=3.718 c=3.597 alpha=90.00 beta=90.00 gamma=90.00
Space group P4/mmm (No. 123)
Inequivalent atoms, fractional coordinates:
Nb1 0.000 0.000 0.000 [1 per cell]
Fe1 0.500 0.500 0.000 [1 per cell]
Co1 0.000 0.500 0.500 [2 per cell]

---

No. 19
## KSi2Pb2Au7 (PBE)

Data for crystalline KSi2Pb2Au7 at its relaxed geometry.

Properties
The calculated total energy is -3.634 eV per atom.

Unit cell a=6.984 b=6.937 c=11.688 alpha=90.00 beta=98.79 gamma=90.00
Space group C2/m (No. 12)
Inequivalent atoms, fractional coordinates:
K1 0.000 0.000 0.000 [2 per cell]
Si1 0.183 0.500 0.203 [4 per cell]
Pb1 0.128 0.000 0.375 [4 per cell]
Au1 0.000 0.500 0.000 [2 per cell]
Au2 0.101 0.500 0.406 [4 per cell]
Au3 0.131 0.294 0.793 [8 per cell]

---

No. 20
## Rb3UTe3 (PBE)

Data for crystalline Rb3UTe3 at its relaxed geometry.

Properties
The calculated total energy is -4.232 eV per atom.

Unit cell a=9.829 b=14.809 c=9.643 alpha=90.00 beta=109.37 gamma=90.00
Space group C2/m (No. 12)
Inequivalent atoms, fractional coordinates:
Rb1 0.000 0.171 0.000 [4 per cell]
Rb2 0.000 0.292 0.500 [4 per cell]
Rb3 0.098 0.500 0.881 [4 per cell]
U1 0.105 0.000 0.606 [4 per cell]
Te1 0.172 0.000 0.325 [4 per cell]
Te2 0.223 0.350 0.219 [8 per cell]

---

No. 21
## LiInAs (PBE)

Data for crystalline LiInAs at its relaxed geometry.

Properties
The formation energy is -0.135 eV/atom.

Unit cell a=3.4855 b=3.4855 c=6.2212 alpha=90.00 beta=90.00 gamma=120.00
Space group P3m1 (No. 156)
Inequivalent atoms, fractional coordinates:
Li1 0.0000 0.0000 0.0000 [1 per cell]
In1 0.3333 0.6667 0.6203 [1 per cell]
As1 0.6667 0.3333 0.2922 [1 per cell]